# RbSn4Au4 | the Alexandria database | PBE | relaxed
data_RbSn4Au4
_cell_length_a 7.1016
_cell_length_b 7.1016
_cell_length_c 9.4367
_cell_angle_alpha 90.00
_cell_angle_beta 90.00
_cell_angle_gamma 90.00
_space_group_name_H-M_alt 'P 42/n m c'
_space_group_IT_number 137
loop_
_space_group_symop_operation_xyz
'x,y,z'
'-x,-y,-z'
'-y+1/2,x,z+1/2'
'y+1/2,-x,-z+1/2'
'-x+1/2,-y+1/2,z'
'x+1/2,y+1/2,-z'
'y,-x+1/2,z+1/2'
'-y,x+1/2,-z+1/2'
'x+1/2,-y,-z'
'-x+1/2,y,z'
'-y,-x,-z+1/2'
'y,x,z+1/2'
'-x,y+1/2,-z'
'x,-y+1/2,z'
'y+1/2,x+1/2,-z+1/2'
'-y+1/2,-x+1/2,z+1/2'
loop_
_atom_site_label
_atom_site_type_symbol
_atom_site_fract_x
_atom_site_fract_y
_atom_site_fract_z
Rb1 Rb 0.2500 0.7500 0.2500
Sn1 Sn 0.0059 0.2500 0.1128
Au1 Au 0.0508 0.2500 0.4105
# E above lowest polymorph in eV per formula unit: 0.000
# Calculated formation energy in eV/atom: -0.249
# Raw total energy in eV/atom: -3.59